Entry 1:
TlHgSb2: PBEsol geometry, SCAN.

Geometry as extended XYZ:
```
4
Lattice="3.145 0.000 0.000 0.000 5.407 0.000 -0.027 0.000 6.312" Properties=species:S:1:pos:R:3 pbc="T T T"
Tl 0.000 0.000 0.000
Hg 1.559 0.000 3.156
Sb 1.542 2.703 4.716
Sb 1.576 2.703 1.597
```

Summary:
Energy relative to the elements, uncorrected (eV per atom): 0.071
Energy above the most stable polymorph in this dataset (meV per atom): 13

Entry 2:
LaSmZn2: PBEsol geometry, SCAN.

Geometry as extended XYZ:
```
16
Lattice="7.260 0.000 0.000 0.000 7.260 0.000 0.000 0.000 7.260" Properties=species:S:1:pos:R:3 pbc="T T T"
La 0.000 0.000 0.000
La 0.000 3.630 3.630
La 3.630 0.000 3.630
La 3.630 3.630 0.000
Sm 0.000 0.000 3.630
Sm 0.000 3.630 0.000
Sm 3.630 0.000 0.000
Sm 3.630 3.630 3.630
Zn 1.815 1.815 1.815
Zn 1.815 1.815 5.445
Zn 1.815 5.445 1.815
Zn 1.815 5.445 5.445
Zn 5.445 1.815 1.815
Zn 5.445 1.815 5.445
Zn 5.445 5.445 1.815
Zn 5.445 5.445 5.445
```

Summary:
DFT formation energy (eV/atom): -0.37

Entry 3:
Sr2MgSbS: PBEsol geometry, SCAN.

Geometry as extended XYZ:
```
5
Lattice="6.118 0.000 0.000 0.000 6.118 0.000 0.000 0.000 4.856" Properties=species:S:1:pos:R:3 pbc="T T T"
Sr 0.000 3.059 0.000
Sr 3.059 0.000 0.000
Mg 0.000 0.000 0.000
Sb 0.000 0.000 2.428
S 3.059 3.059 2.428
```

Summary:
Energy relative to the elements, uncorrected (eV per atom): -0.192

Entry 4:
Tl2OsAu: PBEsol geometry, SCAN.

Geometry as extended XYZ:
```
4
Lattice="2.982 0.000 0.000 0.000 2.982 0.000 0.000 0.000 9.248" Properties=species:S:1:pos:R:3 pbc="T T T"
Tl 0.000 0.000 0.000
Tl 1.491 1.491 2.995
Os 1.491 1.491 7.159
Au 0.000 0.000 5.398
```

Summary:
Energy above the most stable polymorph in this dataset (meV per atom): 138
DFT formation energy (eV/atom): 0.75

Entry 5:
SbIrPtI2: PBEsol geometry, SCAN.

Geometry as extended XYZ:
```
5
Lattice="5.274 0.000 0.000 0.000 5.274 0.000 0.000 0.000 5.104" Properties=species:S:1:pos:R:3 pbc="T T T"
Sb 0.000 0.000 0.000
Ir 2.637 2.637 0.000
Pt 0.000 0.000 2.552
I 0.000 2.637 2.552
I 2.637 0.000 2.552
```

Summary:
Energy relative to the elements, uncorrected (eV per atom): 1.286

Entry 6:
CsSe2BrF: PBEsol geometry, SCAN.

Geometry as extended XYZ:
```
5
Lattice="4.575 0.000 0.000 0.000 4.575 0.000 0.000 0.000 6.509" Properties=species:S:1:pos:R:3 pbc="T T T"
Cs 0.000 0.000 0.000
Se 0.000 2.287 3.254
Se 2.287 0.000 3.254
Br 2.287 2.287 0.000
F 2.287 2.287 3.254
```

Summary:
Energy relative to the elements, uncorrected (eV per atom): -0.422

Entry 7:
Ta2SbCl: PBEsol geometry, SCAN.

Geometry as extended XYZ:
```
4
Lattice="3.347 0.000 0.000 0.000 3.347 0.000 0.000 0.000 7.636" Properties=species:S:1:pos:R:3 pbc="T T T"
Ta 0.000 0.000 0.000
Ta 1.673 1.673 1.459
Sb 1.673 1.673 6.050
Cl 0.000 0.000 3.252
```

Summary:
Energy relative to the elements, uncorrected (eV per atom): -0.039
Energy above the most stable polymorph in this dataset (meV per atom): 193

Entry 8:
SrCrAg2: PBEsol geometry, SCAN.

Geometry as extended XYZ:
```
4
Lattice="3.510 0.000 0.000 0.000 3.510 0.000 0.000 0.000 7.024" Properties=species:S:1:pos:R:3 pbc="T T T"
Sr 0.000 0.000 0.000
Cr 0.000 0.000 3.512
Ag 1.755 1.755 2.131
Ag 1.755 1.755 4.894
```

Summary:
Energy above the most stable polymorph in this dataset (meV per atom): 33
DFT formation energy (eV/atom): 0.10

Entry 9:
SrReAu4: PBEsol geometry, SCAN.

Geometry as extended XYZ:
```
6
Lattice="0.000 3.882 3.882 3.882 0.000 3.882 3.882 3.882 0.000" Properties=species:S:1:pos:R:3 pbc="T T T"
Sr 0.000 0.000 0.000
Re 5.823 5.823 5.823
Au 2.915 2.915 2.915
Au 4.849 4.849 2.915
Au 4.849 2.915 4.849
Au 2.915 4.849 4.849
```

Summary:
DFT formation energy (eV/atom): 0.29

Entry 10:
HgP2Ru: PBEsol geometry, SCAN.

Geometry as extended XYZ:
```
8
Lattice="4.163 0.000 0.000 0.000 4.163 0.000 0.000 0.000 7.020" Properties=species:S:1:pos:R:3 pbc="T T T"
Hg 0.000 0.000 0.000
Hg 2.081 2.081 3.510
P 0.000 2.081 1.755
P 0.000 2.081 5.265
P 2.081 0.000 1.755
P 2.081 0.000 5.265
Ru 0.000 0.000 3.510
Ru 2.081 2.081 0.000
```

Summary:
DFT formation energy (eV/atom): 0.64

Entry 11:
WC2: PBEsol geometry, SCAN.

Geometry as extended XYZ:
```
12
Lattice="2.663 0.000 0.000 0.000 2.663 0.000 0.000 0.000 14.486" Properties=species:S:1:pos:R:3 pbc="T T T"
W 0.000 0.666 5.432
W 0.000 1.997 9.054
W 1.331 0.666 1.811
W 1.331 1.997 12.675
C 0.000 0.666 11.295
C 0.000 0.666 14.055
C 0.000 1.997 0.430
C 0.000 1.997 3.191
C 1.331 0.666 7.673
C 1.331 0.666 10.434
C 1.331 1.997 4.052
C 1.331 1.997 6.813
```

Summary:
Energy above the most stable polymorph in this dataset (meV per atom): 886
DFT formation energy (eV/atom): 1.55

Entry 12:
BaBeNO2: PBEsol geometry, SCAN.

Geometry as extended XYZ:
```
5
Lattice="3.930 0.000 0.000 0.000 3.930 0.000 0.000 0.000 3.793" Properties=species:S:1:pos:R:3 pbc="T T T"
Ba 0.000 0.000 0.000
Be 1.965 1.965 1.897
N 1.965 1.965 0.000
O 0.000 1.965 1.897
O 1.965 0.000 1.897
```

Summary:
Energy relative to the elements, uncorrected (eV per atom): -1.022

Entry 13:
Zr2CdPb: PBEsol geometry, SCAN.

Geometry as extended XYZ:
```
8
Lattice="4.237 0.000 0.000 0.000 4.237 0.000 0.000 0.000 9.776" Properties=species:S:1:pos:R:3 pbc="T T T"
Zr 0.000 0.000 0.000
Zr 0.000 2.118 2.444
Zr 2.118 0.000 7.332
Zr 2.118 2.118 4.888
Cd 0.000 0.000 4.888
Cd 2.118 2.118 0.000
Pb 0.000 2.118 7.332
Pb 2.118 0.000 2.444
```

Summary:
DFT formation energy (eV/atom): -0.25

Entry 14:
La2TaNbF: PBEsol geometry, SCAN.

Geometry as extended XYZ:
```
5
Lattice="5.756 0.000 0.000 0.000 5.756 0.000 0.000 0.000 4.771" Properties=species:S:1:pos:R:3 pbc="T T T"
La 0.000 2.878 0.000
La 2.878 0.000 0.000
Ta 0.000 0.000 0.000
Nb 0.000 0.000 2.385
F 2.878 2.878 2.385
```

Summary:
Energy relative to the elements, uncorrected (eV per atom): 0.294

Entry 15:
GdMg3: PBEsol geometry, SCAN.

Geometry as extended XYZ:
```
16
Lattice="7.263 0.000 0.000 0.000 7.263 0.000 0.000 0.000 7.263" Properties=species:S:1:pos:R:3 pbc="T T T"
Gd 0.000 0.000 0.000
Gd 0.000 3.632 3.632
Gd 3.632 0.000 3.632
Gd 3.632 3.632 0.000
Mg 0.000 0.000 3.632
Mg 0.000 3.632 0.000
Mg 1.816 1.816 1.816
Mg 1.816 1.816 5.447
Mg 1.816 5.447 1.816
Mg 1.816 5.447 5.447
Mg 3.632 0.000 0.000
Mg 3.632 3.632 3.632
Mg 5.447 1.816 1.816
Mg 5.447 1.816 5.447
Mg 5.447 5.447 1.816
Mg 5.447 5.447 5.447
```

Summary:
DFT formation energy (eV/atom): -0.07

Entry 16:
Ba2LaAu: PBEsol geometry, SCAN.

Geometry as extended XYZ:
```
12
Lattice="4.148 0.000 0.000 -2.074 3.592 0.000 0.000 0.000 32.755" Properties=species:S:1:pos:R:3 pbc="T T T"
Ba 0.000 0.000 7.579
Ba 0.000 0.000 25.175
Ba 0.000 2.395 14.257
Ba 0.000 2.395 29.416
Ba 2.074 1.197 3.339
Ba 2.074 1.197 18.498
La 0.000 0.000 0.000
La 0.000 2.395 21.836
La 2.074 1.197 10.918
Au 0.000 0.000 16.377
Au 0.000 2.395 5.459
Au 2.074 1.197 27.296
```

Summary:
Energy above the most stable polymorph in this dataset (meV per atom): 206
DFT formation energy (eV/atom): -0.23

Entry 17:
PAu2CO: PBEsol geometry, SCAN.

Geometry as extended XYZ:
```
5
Lattice="4.717 0.000 0.000 0.000 4.717 0.000 0.000 0.000 3.291" Properties=species:S:1:pos:R:3 pbc="T T T"
P 0.000 0.000 0.000
Au 0.000 2.359 0.000
Au 2.359 0.000 0.000
C 2.359 2.359 1.645
O 0.000 0.000 1.645
```

Summary:
Energy relative to the elements, uncorrected (eV per atom): 1.068

Entry 18:
ScAl2MoAu: PBEsol geometry, SCAN.

Geometry as extended XYZ:
```
5
Lattice="4.651 0.000 0.000 0.000 4.651 0.000 0.000 0.000 5.061" Properties=species:S:1:pos:R:3 pbc="T T T"
Sc 0.000 0.000 0.000
Al 0.000 2.325 2.530
Al 2.325 0.000 2.530
Mo 2.325 2.325 0.000
Au 0.000 0.000 2.530
```

Summary:
DFT formation energy (eV/atom): 0.50

Entry 19:
CaPCl2: PBEsol geometry, SCAN.

Geometry as extended XYZ:
```
8
Lattice="3.595 0.000 0.000 0.000 3.847 0.000 0.000 0.000 13.442" Properties=species:S:1:pos:R:3 pbc="T T T"
Ca 0.000 0.000 0.000
Ca 1.797 1.923 6.721
P 0.000 1.923 4.408
P 1.797 0.000 11.129
Cl 0.000 0.000 7.703
Cl 0.000 1.923 11.274
Cl 1.797 0.000 4.553
Cl 1.797 1.923 0.982
```

Summary:
Energy relative to the elements, uncorrected (eV per atom): -1.040
Energy above the most stable polymorph in this dataset (meV per atom): 0

Entry 20:
AlSi8Ni2: PBEsol geometry, SCAN.

Geometry as extended XYZ:
```
11
Lattice="3.427 0.000 0.000 0.000 3.427 0.000 0.000 0.000 13.403" Properties=species:S:1:pos:R:3 pbc="T T T"
Al 0.000 0.000 0.000
Si 0.000 1.714 2.069
Si 0.000 1.714 6.702
Si 0.000 1.714 11.335
Si 1.714 0.000 2.069
Si 1.714 0.000 6.702
Si 1.714 0.000 11.335
Si 1.714 1.714 4.627
Si 1.714 1.714 8.776
Ni 0.000 0.000 3.729
Ni 0.000 0.000 9.675
```

Summary:
Energy relative to the elements, uncorrected (eV per atom): 0.312

Entry 21:
ZnTc2Mo: PBEsol geometry, SCAN.

Geometry as extended XYZ:
```
8
Lattice="3.840 0.000 0.000 0.000 3.840 0.000 0.000 0.000 7.672" Properties=species:S:1:pos:R:3 pbc="T T T"
Zn 0.000 0.000 0.000
Zn 1.920 1.920 3.836
Tc 0.000 1.920 1.918
Tc 0.000 1.920 5.754
Tc 1.920 0.000 1.918
Tc 1.920 0.000 5.754
Mo 0.000 0.000 3.836
Mo 1.920 1.920 0.000
```

Summary:
DFT formation energy (eV/atom): 0.13

Entry 22:
Cd2HgAs: PBEsol geometry, SCAN.

Geometry as extended XYZ:
```
8
Lattice="7.175 0.000 0.000 0.000 4.270 0.000 -2.641 0.000 6.015" Properties=species:S:1:pos:R:3 pbc="T T T"
Cd 1.158 0.000 1.319
Cd -0.211 2.135 4.696
Cd 4.745 2.135 1.319
Cd 3.377 0.000 4.696
Hg -1.320 0.000 3.007
Hg 2.267 2.135 3.007
As 0.000 2.135 0.000
As 3.588 0.000 0.000
```

Summary:
Energy above the most stable polymorph in this dataset (meV per atom): 0
DFT formation energy (eV/atom): -0.01

Entry 23:
InH2Pd2: PBEsol geometry, SCAN.

Geometry as extended XYZ:
```
10
Lattice="3.365 0.000 0.000 0.000 3.365 0.000 0.000 0.000 9.659" Properties=species:S:1:pos:R:3 pbc="T T T"
In 0.000 0.000 0.000
In 1.682 1.682 4.829
H 0.000 1.682 2.415
H 0.000 1.682 7.244
H 1.682 0.000 2.415
H 1.682 0.000 7.244
Pd 0.000 0.000 3.329
Pd 0.000 0.000 6.330
Pd 1.682 1.682 1.501
Pd 1.682 1.682 8.158
```

Summary:
Electronic total energy (eV per atom): -21.37

Entry 24:
Si4OsRh: PBEsol geometry, SCAN.

Geometry as extended XYZ:
```
6
Lattice="0.000 3.381 3.381 3.381 0.000 3.381 3.381 3.381 0.000" Properties=species:S:1:pos:R:3 pbc="T T T"
Si 0.845 0.845 0.845
Si 2.535 2.535 0.845
Si 2.535 0.845 2.535
Si 0.845 2.535 2.535
Os 3.381 3.381 3.381
Rh 5.071 5.071 5.071
```

Summary:
Energy relative to the elements, uncorrected (eV per atom): 0.578

Entry 25:
KMnF4: PBEsol geometry, SCAN.

Geometry as extended XYZ:
```
24
Lattice="5.739 0.000 0.000 0.000 7.663 0.000 -0.082 0.000 7.706" Properties=species:S:1:pos:R:3 pbc="T T T"
K 0.041 1.473 1.954
K 0.000 2.359 5.807
K 5.657 5.304 1.899
K 5.616 6.190 5.752
Mn 2.869 0.000 0.000
Mn 2.828 0.000 3.853
Mn 2.869 3.831 0.000
Mn 2.828 3.831 3.853
F 1.143 4.305 4.349
F 1.184 7.189 0.496
F 1.117 4.418 7.281
F 1.158 7.076 3.428
F 2.159 1.770 3.834
F 2.118 2.062 7.687
F 2.307 3.976 2.050
F 2.266 7.518 5.903
F 3.391 0.144 1.803
F 3.350 3.687 5.656
F 3.539 5.601 0.019
F 3.498 5.893 3.872
F 4.499 0.587 4.278
F 4.540 3.245 0.425
F 4.473 0.474 7.210
F 4.514 3.357 3.357
```

Summary:
Energy relative to the elements, uncorrected (eV per atom): -2.992

Entry 26:
Li3PbO: PBEsol geometry, SCAN.

Geometry as extended XYZ:
```
5
Lattice="4.071 0.000 0.000 0.000 4.071 0.000 0.000 0.000 4.071" Properties=species:S:1:pos:R:3 pbc="T T T"
Li 0.000 0.000 2.035
Li 0.000 2.035 0.000
Li 2.035 0.000 0.000
Pb 2.035 2.035 2.035
O 0.000 0.000 0.000
```

Summary:
Energy relative to the elements, uncorrected (eV per atom): -1.036

Entry 27:
TlHg2S2: PBEsol geometry, SCAN.

Geometry as extended XYZ:
```
10
Lattice="4.946 0.000 0.000 0.000 4.946 0.000 0.000 0.000 9.659" Properties=species:S:1:pos:R:3 pbc="T T T"
Tl 0.000 0.000 0.000
Tl 2.473 2.473 4.830
Hg 0.000 0.000 3.465
Hg 0.000 0.000 6.194
Hg 2.473 2.473 1.365
Hg 2.473 2.473 8.295
S 0.000 2.473 2.415
S 0.000 2.473 7.244
S 2.473 0.000 2.415
S 2.473 0.000 7.244
```

Summary:
Energy relative to the elements, uncorrected (eV per atom): 0.018